DFT (PBE) results for a geometry-optimized BaNbSeBr2 structure.

The structure in POSCAR format:
```
BaNbSeBr2
1.0
-1.041 -0.876 -5.872
2.529 -5.459 0.365
-5.629 -2.516 1.373
Nb Se Ba Br
1 1 1 2
direct
0.500 0.500 0.500 Nb
0.000 0.000 0.500 Se
0.000 0.000 0.000 Ba
0.000 0.500 0.000 Br
0.500 0.000 0.000 Br
```

Computed properties:
Its crystal system is tetragonal. The calculated density is 3.39 g/cm³. For the final energy, the calculation gives -3.602 eV/atom. As for the total magnetization: 3.0 μB/cell. The calculation puts the energy above the lowest structure with this stoichiometry at 1122 meV/atom. The calculated volume is 45.90 Å³ per atom. As for the space group: P4/mmm.